Below is CrPtSCl2 after structural relaxation, with properties calculated at the PBE-GGA level. Values from VASP.

Calculated total energy, eV/atom: -4.42
Polymorph energy (0 for the lowest one), meV/atom: 0
Spin magnetization, μB/cell: 4.11

Cell and atoms, written as Quantum ESPRESSO input:
```
&SYSTEM
  ibrav = 0, nat = 5, ntyp = 4
/
ATOMIC_SPECIES
Cr 52.00 Cr.upf
Pt 195.08 Pt.upf
S 32.06 S.upf
Cl 35.45 Cl.upf
CELL_PARAMETERS angstrom
4.875 0.000 0.000
0.000 4.875 0.000
0.000 0.000 4.746
ATOMIC_POSITIONS crystal
Cr 0.000 0.000 0.000
Pt 0.500 0.500 0.500
S 0.500 0.500 0.000
Cl 0.000 0.500 0.500
Cl 0.500 0.000 0.500
```

***

Below is MgTa3As after structural relaxation, with properties calculated at the PBE-GGA level. Values from VASP.

Calculated total energy, eV/atom: -6.43
Polymorph energy (0 for the lowest one), meV/atom: 1097
Formation energy from the elements, meV/atom: 1932
Spin magnetization, μB/cell: 0.00

Cell and atoms, written as Quantum ESPRESSO input:
```
&SYSTEM
  ibrav = 0, nat = 5, ntyp = 3
/
ATOMIC_SPECIES
Mg 24.30 Mg.upf
Ta 180.95 Ta.upf
As 74.92 As.upf
CELL_PARAMETERS angstrom
4.740 0.000 0.000
0.000 4.740 0.000
0.000 0.000 4.740
ATOMIC_POSITIONS crystal
Mg 0.000 0.000 0.000
Ta 0.000 0.000 0.500
Ta 0.000 0.500 0.000
Ta 0.500 0.000 0.000
As 0.500 0.500 0.500
```

***

Below is SmHo2ErS6 after structural relaxation, with properties calculated at the PBE-GGA level. Values from VASP.

Calculated total energy, eV/atom: -6.37
Spin magnetization, μB/cell: 0.00

Cell and atoms, written as Quantum ESPRESSO input:
```
&SYSTEM
  ibrav = 0, nat = 10, ntyp = 4
/
ATOMIC_SPECIES
Sm 150.36 Sm.upf
Ho 164.93 Ho.upf
Er 167.26 Er.upf
S 32.06 S.upf
CELL_PARAMETERS angstrom
3.461 1.998 6.170
-3.461 1.998 6.170
0.000 -3.996 6.170
ATOMIC_POSITIONS crystal
Sm 0.000 0.000 0.000
Ho 0.295 0.295 0.295
Ho 0.798 0.798 0.798
Er 0.496 0.496 0.496
S 0.094 0.686 0.409
S 0.199 0.591 0.896
S 0.409 0.094 0.686
S 0.591 0.896 0.199
S 0.686 0.409 0.094
S 0.896 0.199 0.591
```

***

Below is ZrVFe after structural relaxation, with properties calculated at the PBE-GGA level. Values from VASP.

Calculated total energy, eV/atom: -8.88
Polymorph energy (0 for the lowest one), meV/atom: 31
Formation energy from the elements, meV/atom: -172
Spin magnetization, μB/cell: 2.71

Cell and atoms, written as Quantum ESPRESSO input:
```
&SYSTEM
  ibrav = 0, nat = 12, ntyp = 3
/
ATOMIC_SPECIES
Zr 91.22 Zr.upf
V 50.94 V.upf
Fe 55.84 Fe.upf
CELL_PARAMETERS angstrom
8.296 0.000 0.000
0.000 2.560 4.350
0.000 -2.560 4.350
ATOMIC_POSITIONS crystal
Zr 0.185 0.000 0.000
Zr 0.303 0.667 0.667
Zr 0.697 0.667 0.667
Zr 0.815 0.000 0.000
V 0.000 0.491 0.491
V 0.500 0.165 0.165
V 0.500 0.166 0.669
V 0.500 0.669 0.166
Fe 0.000 0.496 0.992
Fe 0.000 0.992 0.496
Fe 0.248 0.332 0.332
Fe 0.752 0.332 0.332
```

***

Below is NiAs2Br after structural relaxation, with properties calculated at the PBE-GGA level. Values from VASP.

Calculated total energy, eV/atom: -4.24
Polymorph energy (0 for the lowest one), meV/atom: 124
Spin magnetization, μB/cell: 0.00

Cell and atoms, written as Quantum ESPRESSO input:
```
&SYSTEM
  ibrav = 0, nat = 4, ntyp = 3
/
ATOMIC_SPECIES
Ni 58.69 Ni.upf
As 74.92 As.upf
Br 79.90 Br.upf
CELL_PARAMETERS angstrom
2.457 -4.050 0.000
2.457 4.050 0.000
0.000 0.000 3.924
ATOMIC_POSITIONS crystal
Ni 0.000 0.000 0.000
As 0.172 0.828 0.500
As 0.828 0.172 0.500
Br 0.500 0.500 0.000
```

***

Below is La4Y3Sc2 after structural relaxation, with properties calculated at the PBE-GGA level. Values from VASP.

Calculated total energy, eV/atom: -5.65
Formation energy from the elements, meV/atom: 98
Spin magnetization, μB/cell: 0.00

Cell and atoms, written as Quantum ESPRESSO input:
```
&SYSTEM
  ibrav = 0, nat = 9, ntyp = 3
/
ATOMIC_SPECIES
La 138.91 La.upf
Y 88.91 Y.upf
Sc 44.96 Sc.upf
CELL_PARAMETERS angstrom
6.458 -1.815 0.000
6.458 1.815 0.000
-6.242 0.000 12.781
ATOMIC_POSITIONS crystal
La 0.221 0.221 0.374
La 0.276 0.276 0.886
La 0.724 0.724 0.114
La 0.779 0.779 0.626
Y 0.000 0.000 0.500
Y 0.008 0.008 0.886
Y 0.992 0.992 0.114
Sc 0.455 0.455 0.292
Sc 0.545 0.545 0.708
```

***

Below is MnFe after structural relaxation, with properties calculated at the PBE-GGA level. Values from VASP.

Calculated total energy, eV/atom: -8.52
Formation energy from the elements, meV/atom: 297
Spin magnetization, μB/cell: 8.45

Cell and atoms, written as Quantum ESPRESSO input:
```
&SYSTEM
  ibrav = 0, nat = 8, ntyp = 2
/
ATOMIC_SPECIES
Mn 54.94 Mn.upf
Fe 55.84 Fe.upf
CELL_PARAMETERS angstrom
3.967 0.000 0.000
-1.984 3.436 0.000
0.000 0.000 7.123
ATOMIC_POSITIONS crystal
Mn 0.000 0.000 0.250
Mn 0.000 0.000 0.750
Mn 0.333 0.667 0.250
Mn 0.667 0.333 0.750
Fe 0.333 0.667 0.572
Fe 0.333 0.667 0.928
Fe 0.667 0.333 0.072
Fe 0.667 0.333 0.428
```

***

Below is Cs3ZrTe3 after structural relaxation, with properties calculated at the PBE-GGA level. Values from VASP.

Calculated total energy, eV/atom: -3.96
Spin magnetization, μB/cell: 0.00

Cell and atoms, written as Quantum ESPRESSO input:
```
&SYSTEM
  ibrav = 0, nat = 14, ntyp = 3
/
ATOMIC_SPECIES
Cs 132.91 Cs.upf
Zr 91.22 Zr.upf
Te 127.60 Te.upf
CELL_PARAMETERS angstrom
5.071 -7.724 0.000
5.071 7.724 0.000
-2.681 0.000 9.093
ATOMIC_POSITIONS crystal
Cs 0.170 0.830 0.000
Cs 0.277 0.723 0.500
Cs 0.392 0.392 0.134
Cs 0.608 0.608 0.866
Cs 0.723 0.277 0.500
Cs 0.830 0.170 0.000
Zr 0.144 0.144 0.636
Zr 0.856 0.856 0.364
Te 0.126 0.126 0.332
Te 0.136 0.430 0.775
Te 0.430 0.136 0.775
Te 0.570 0.864 0.225
Te 0.864 0.570 0.225
Te 0.874 0.874 0.668
```

***

Below is Na2As4Pd5 after structural relaxation, with properties calculated at the PBE-GGA level. Values from VASP.

Calculated total energy, eV/atom: -4.65
Formation energy from the elements, meV/atom: -361
Spin magnetization, μB/cell: 0.00

Cell and atoms, written as Quantum ESPRESSO input:
```
&SYSTEM
  ibrav = 0, nat = 11, ntyp = 3
/
ATOMIC_SPECIES
Na 22.99 Na.upf
As 74.92 As.upf
Pd 106.42 Pd.upf
CELL_PARAMETERS angstrom
0.000 5.141 7.601
2.839 0.000 7.601
2.839 5.141 0.000
ATOMIC_POSITIONS crystal
Na 0.125 0.125 0.875
Na 0.875 0.875 0.125
As 0.214 0.534 0.466
As 0.466 0.786 0.214
As 0.534 0.214 0.786
As 0.786 0.466 0.534
Pd 0.000 0.000 0.500
Pd 0.250 0.250 0.250
Pd 0.500 0.500 0.000
Pd 0.500 0.500 0.500
Pd 0.750 0.750 0.750
```

***

Below is DySc2Ga9 after structural relaxation, with properties calculated at the PBE-GGA level. Values from VASP.

Calculated total energy, eV/atom: -4.22
Formation energy from the elements, meV/atom: -513
Spin magnetization, μB/cell: 0.00

Cell and atoms, written as Quantum ESPRESSO input:
```
&SYSTEM
  ibrav = 0, nat = 12, ntyp = 3
/
ATOMIC_SPECIES
Dy 162.50 Dy.upf
Sc 44.96 Sc.upf
Ga 69.72 Ga.upf
CELL_PARAMETERS angstrom
4.169 0.000 0.000
0.000 4.169 0.000
0.000 0.000 12.498
ATOMIC_POSITIONS crystal
Dy 0.000 0.000 0.000
Sc 0.000 0.000 0.337
Sc 0.000 0.000 0.663
Ga 0.000 0.500 0.174
Ga 0.000 0.500 0.500
Ga 0.000 0.500 0.826
Ga 0.500 0.000 0.174
Ga 0.500 0.000 0.500
Ga 0.500 0.000 0.826
Ga 0.500 0.500 0.000
Ga 0.500 0.500 0.335
Ga 0.500 0.500 0.665
```

***

Below is TiNiOs after structural relaxation, with properties calculated at the PBE-GGA level. Values from VASP.

Calculated total energy, eV/atom: -8.45
Polymorph energy (0 for the lowest one), meV/atom: 285
Formation energy from the elements, meV/atom: -150
Spin magnetization, μB/cell: 0.00

Cell and atoms, written as Quantum ESPRESSO input:
```
&SYSTEM
  ibrav = 0, nat = 6, ntyp = 3
/
ATOMIC_SPECIES
Ti 47.87 Ti.upf
Ni 58.69 Ni.upf
Os 190.23 Os.upf
CELL_PARAMETERS angstrom
4.851 -1.449 0.000
4.851 1.449 0.000
-0.931 0.000 6.163
ATOMIC_POSITIONS crystal
Ti 0.064 0.064 0.275
Ti 0.936 0.936 0.725
Ni 0.210 0.210 0.642
Ni 0.790 0.790 0.358
Os 0.364 0.364 0.048
Os 0.636 0.636 0.952
```

***

Below is Co2P after structural relaxation, with properties calculated at the PBE-GGA level. Values from VASP.

Calculated total energy, eV/atom: -6.11
Formation energy from the elements, meV/atom: 435
Spin magnetization, μB/cell: 6.29

Cell and atoms, written as Quantum ESPRESSO input:
```
&SYSTEM
  ibrav = 0, nat = 6, ntyp = 2
/
ATOMIC_SPECIES
Co 58.93 Co.upf
P 30.97 P.upf
CELL_PARAMETERS angstrom
0.000 3.319 3.319
3.319 0.000 3.319
3.319 3.319 0.000
ATOMIC_POSITIONS crystal
Co 0.000 0.000 0.000
Co 0.000 0.000 0.500
Co 0.000 0.500 0.000
Co 0.500 0.000 0.000
P 0.375 0.375 0.375
P 0.625 0.625 0.625
```

***

- Which value of calculated total energy does entry 12 give?
  -6.11 eV/atom